AcLa3YTm: optimized geometry, PBE.

Final energy, eV/cell: -59.15
E_form, eV/atom: 0.04
ρ, Mg/m³: 6.9
Magnetization, Bohr magnetons per cell: 0.00
D(E_F), states/eV per atom: 1.8744

a = 8.1856 Å, b = 5.3098 Å, c = 10.6126 Å
α = 90.00°, β = 108.97°, γ = 90.00°
Space group P2_1/m (No. 11)
Unique sites:
Ac 0.1737 0.2500 0.2944 (multiplicity 2)
La 0.1706 0.7500 0.0414 (multiplicity 2)
La 0.1723 0.7500 0.5444 (multiplicity 2)
La 0.1730 0.2500 0.7917 (multiplicity 2)
Y 0.4984 0.7500 0.8761 (multiplicity 2)
Tm 0.4983 0.2500 0.6265 (multiplicity 2)



Zn2CdSe: optimized geometry, PBE.

Energy above the most stable polymorph in this dataset, eV/atom: 0.2112
Final energy, eV/cell: -12.99
ρ, Mg/m³: 6.9
Magnetization, Bohr magnetons per cell: 0.00
D(E_F), states/eV per atom: 0.3031

a = 6.6073 Å, b = 8.3290 Å, c = 2.8174 Å
α = 90.00°, β = 90.00°, γ = 90.00°
Space group Cmmm (No. 65)
Unique sites:
Zn 0.2500 0.2500 0.0000 (multiplicity 4)
Cd 0.0000 0.0000 0.5000 (multiplicity 2)
Se 0.0000 0.5000 0.5000 (multiplicity 2)